DFT (PBE) results for a relaxed structure of K3La2SmO6.

Cell: 6.3739 11.0420 6.6475 Å, 90.00 108.64 90.00°
Last column: nearest neighbours and their distance in Å.
Space group C2/m (No. 12)
Unique sites:
K 0.0000 0.0000 0.0000  6 O 2.87-2.92
K 0.0000 0.3353 0.0000  6 O 2.86-2.93
La 0.0000 0.1667 0.5000  6 O 2.46
Sm 0.0000 0.5000 0.5000  6 O 2.40
O 0.2264 0.3370 0.6904  1 Sm 2.40, 2 La 2.46
O 0.2373 0.0000 0.6899  1 Sm 2.40, 2 La 2.46

Values from the calculation:
- energy relative to the elements, uncorrected (eV per atom) = -2.663


DFT (PBE) results for a relaxed structure of Np2Hg5O12.

Cell: 6.7790 7.0572 8.9884 Å, 100.60 103.00 108.10°
Last column: nearest neighbours and their distance in Å.
Space group P-1 (No. 2)
Unique sites:
Np 0.0146 0.2447 0.4882  2 O 1.81-1.82
Hg 0.0000 0.0000 0.0000  2 O 2.05
Hg 0.1749 0.5794 0.1962  2 O 2.07-2.10
Hg 0.4712 0.7213 0.9383  2 O 2.03
O 0.1231 0.9993 0.4186  2 Np 2.10-2.13
O 0.1352 0.5363 0.4141  1 Hg 2.10, 2 Np 2.25
O 0.1976 0.6963 0.0026  2 Hg 2.03-2.07
O 0.2083 0.8586 0.6956  1 Np 1.81
O 0.2458 0.3616 0.6675  1 Np 1.82
O 0.2632 0.2586 0.1359  2 Hg 2.03-2.05

Values from the calculation:
- energy relative to the elements, uncorrected (eV per atom) = -1.295


DFT (PBE) results for a relaxed structure of Cr2HgRu.

Cell: 9.0009 2.8491 4.8161 Å, 90.00 100.60 90.00°
Last column: nearest neighbours and their distance in Å.
Space group C2/m (No. 12)
Unique sites:
Cr 0.2431 0.0000 0.1743  2 Cr 2.22
Hg 0.0000 0.0000 0.5000  4 Ru 2.80, 2 Hg 2.85, 6 Cr 2.92
Ru 0.0000 0.5000 0.0000  6 Cr 2.60-2.62, 4 Hg 2.80, 2 Ru 2.85

Values from the calculation:
- formation energy (meV/atom) = 492


DFT (PBE) results for a relaxed structure of InCoNi2Os.

Cell: 4.5592 4.5592 4.4572 Å, 90.00 90.00 90.00°
Last column: nearest neighbours and their distance in Å.
Space group P4/mmm (No. 123)
Unique sites:
In 0.0000 0.0000 0.0000  8 Ni 3.19, 4 Co 3.22
Co 0.5000 0.5000 0.0000  2 Os 2.23
Ni 0.0000 0.5000 0.5000  2 Os 2.28
Os 0.5000 0.5000 0.5000  2 Co 2.23, 4 Ni 2.28

Values from the calculation:
- formation energy (meV/atom) = 1162


DFT (PBE) results for a relaxed structure of Pm2HgTe5.

Cell: 6.3620 15.5060 13.9995 Å, 90.00 90.00 90.00°
Last column: nearest neighbours and their distance in Å.
Space group Cmcm (No. 63)
Unique sites:
Pm 0.0000 0.1699 0.0716  6 Te 3.03-3.19
Hg 0.0000 0.2919 0.7500  2 Te 2.77
Te 0.0000 0.0303 0.5942  1 Te 2.80, 1 Pm 3.12
Te 0.0000 0.2811 0.2500  2 Pm 3.03, 2 Hg 3.38
Te 0.0000 0.3373 0.5585  1 Hg 2.77

Values from the calculation:
- energy relative to the elements, uncorrected (eV per atom) = -0.758


DFT (PBE) results for a relaxed structure of Sm6Ga2O.

Cell: 6.4182 8.0805 10.8885 Å, 90.00 122.31 90.00°
Last column: nearest neighbours and their distance in Å.
Space group P2_1/c (No. 14)
Unique sites:
Sm 0.1169 0.1504 0.4466  1 O 2.52
Sm 0.3097 0.7131 0.4405  1 O 2.54
Sm 0.3547 0.0374 0.2366  1 O 2.52
Ga 0.1990 0.1145 0.7634  8 Sm 2.99-3.21
O 0.5000 0.0000 0.5000  6 Sm 2.52-2.54

Values from the calculation:
- energy relative to the elements, uncorrected (eV per atom) = -0.846


DFT (PBE) results for a relaxed structure of Mg7Tl2Pd.

Cell: 14.5342 8.4075 9.5814 Å, 90.00 129.95 90.00°
Last column: nearest neighbours and their distance in Å.
Space group C2/c (No. 15)
Unique sites:
Mg 0.0000 0.1684 0.2500  1 Pd 2.81, 2 Tl 2.93, 2 Mg 3.07
Mg 0.0972 0.3735 0.1050  2 Pd 2.76-2.91, 3 Mg 2.94-3.07, 1 Tl 3.02
Mg 0.1283 0.2424 0.7886  1 Pd 2.70
Mg 0.2167 0.4015 0.5323  1 Pd 2.65, 2 Mg 2.93-2.94, 1 Tl 2.93
Tl 0.1422 0.0277 0.0798  7 Mg 2.93-3.23
Pd 0.0000 0.4968 0.7500  9 Mg 2.65-2.91

Values from the calculation:
- formation energy (meV/atom) = -189


DFT (PBE) results for a relaxed structure of Tl12Pb3Au5.

Cell: 17.6581 17.6581 17.6581 Å, 90.00 90.00 90.00°
Last column: nearest neighbours and their distance in Å.
Space group Ia-3d (No. 230)
Unique sites:
Tl 0.0214 0.0681 0.6499  2 Au 2.81-2.93
Pb 0.0000 0.2500 0.1250  8 Tl 3.26-3.35
Au 0.0000 0.0000 0.0000  6 Tl 2.93
Au 0.0000 0.2500 0.3750  4 Tl 2.81

Values from the calculation:
- formation energy (meV/atom) = 114


DFT (PBE) results for a relaxed structure of Ho2PaV.

Cell: 3.2733 3.2733 33.4763 Å, 90.00 90.00 120.00°
Last column: nearest neighbours and their distance in Å.
Space group R-3m (No. 166, hexagonal axes)
Unique sites:
Ho 0.0000 0.0000 0.0837  1 V 2.80
Pa 0.0000 0.0000 0.5000  6 Pa 3.27, 6 Ho 3.36
V 0.0000 0.0000 0.0000  2 Ho 2.80

Values from the calculation:
- formation energy (meV/atom) = 611


DFT (PBE) results for a relaxed structure of Sr2RhW.

Cell: 3.8560 4.9613 10.0026 Å, 90.00 90.00 90.00°
Last column: nearest neighbours and their distance in Å.
Space group Immm (No. 71)
Unique sites:
Sr 0.0000 0.0000 0.2194  2 Rh 2.92, 4 Sr 3.20
Rh 0.0000 0.5000 0.5000  4 Sr 2.92, 4 W 3.14
W 0.0000 0.5000 0.0000  4 Rh 3.14, 8 Sr 3.31-3.41

Values from the calculation:
- formation energy (meV/atom) = 999
- ΔE to the lowest computed polymorph (kcal/mol of atoms) = 14.006


DFT (PBE) results for a relaxed structure of TbDy4Mg.

Cell: 3.5577 3.5577 14.3345 Å, 90.00 90.00 90.00°
Last column: nearest neighbours and their distance in Å.
Space group P4/mmm (No. 123)
Unique sites:
Tb 0.0000 0.0000 0.0000  8 Dy 3.56, 4 Tb 3.56
Dy 0.0000 0.0000 0.3465  4 Mg 3.34, 8 Dy 3.51-3.56
Dy 0.5000 0.5000 0.1754  8 Dy 3.51-3.56, 4 Tb 3.56
Mg 0.5000 0.5000 0.5000  8 Dy 3.34, 4 Mg 3.56

Values from the calculation:
- formation energy (meV/atom) = -13
- ΔE to the lowest computed polymorph (kcal/mol of atoms) = 0.000


DFT (PBE) results for a relaxed structure of Rb2BaAg9.

Cell: 5.9052 5.9052 30.0653 Å, 90.00 90.00 120.00°
Last column: nearest neighbours and their distance in Å.
Space group R-3m (No. 166, hexagonal axes)
Unique sites:
Rb 0.0000 0.0000 0.1448  12 Ag 3.47-3.73, 3 Rb 3.65
Ba 0.0000 0.0000 0.0000  18 Ag 3.41-3.78
Ag 0.0000 0.0000 0.3315  6 Ag 2.89-2.94
Ag 0.0000 0.0000 0.5000  6 Ag 3.13, 6 Rb 3.47
Ag 0.0052 0.5026 0.0787  7 Ag 2.89-3.13

Values from the calculation:
- formation energy (meV/atom) = -21


DFT (PBE) results for a relaxed structure of DyHoMgTl.

Cell: 7.5274 7.5274 7.5274 Å, 90.00 90.00 90.00°
Last column: nearest neighbours and their distance in Å.
Space group F-43m (No. 216)
Unique sites:
Dy 0.0000 0.0000 0.0000  4 Mg 3.26, 4 Tl 3.26
Ho 0.0000 0.0000 0.5000  4 Tl 3.26, 4 Mg 3.26
Mg 0.2500 0.2500 0.2500  4 Ho 3.26, 4 Dy 3.26
Tl 0.2500 0.2500 0.7500  4 Dy 3.26, 4 Ho 3.26

Values from the calculation:
- formation energy (meV/atom) = -226


DFT (PBE) results for a relaxed structure of K3Pu2SnTe6.

Cell: 7.9692 13.7999 8.5344 Å, 90.00 108.12 90.00°
Last column: nearest neighbours and their distance in Å.
Space group C2/m (No. 12)
Unique sites:
K 0.0000 0.0000 0.0000  6 Te 3.51-3.59
K 0.0000 0.3374 0.0000  6 Te 3.54-3.60
Pu 0.0000 0.1671 0.5000  6 Te 3.11
Sn 0.0000 0.5000 0.5000  6 Te 3.21
Te 0.2253 0.0000 0.7062  2 Pu 3.11, 1 Sn 3.21
Te 0.2409 0.3283 0.7072  2 Pu 3.11, 1 Sn 3.21

Values from the calculation:
- energy relative to the elements, uncorrected (eV per atom) = -0.940


DFT (PBE) results for a relaxed structure of ZnAsPbBr2.

Cell: 5.7611 5.7611 5.7849 Å, 90.00 90.00 90.00°
Last column: nearest neighbours and their distance in Å.
Space group P4/mmm (No. 123)
Unique sites:
Zn 0.0000 0.0000 0.0000  4 As 4.07, 8 Br 4.08
As 0.5000 0.5000 0.0000  2 Pb 2.89
Pb 0.5000 0.5000 0.5000  4 Br 2.88, 2 As 2.89
Br 0.0000 0.5000 0.5000  2 Pb 2.88

Values from the calculation:
- ΔE to the lowest computed polymorph (kcal/mol of atoms) = 6.649
- energy relative to the elements, uncorrected (eV per atom) = 0.226


DFT (PBE) results for a relaxed structure of Pr2DyZn12Ni3.

Cell: 7.1811 7.1811 24.9669 Å, 90.00 90.00 120.00°
Last column: nearest neighbours and their distance in Å.
Space group R-3m (No. 166, hexagonal axes)
Unique sites:
Pr 0.0000 0.0000 0.1263  6 Zn 3.06-3.08
Dy 0.0000 0.0000 0.5000  12 Zn 3.15-3.26
Zn 0.0644 0.5322 0.2789  2 Ni 2.34, 2 Zn 2.58
Zn 0.0937 0.5468 0.9011  1 Ni 2.54, 4 Zn 2.58
Ni 0.0000 0.5000 0.0000  6 Zn 2.34-2.54

Values from the calculation:
- formation energy (meV/atom) = 69


no.,theoretical density (g/cm³)
1,4.81
2,7.24
3,11.10
4,8.63
5,5.43
6,7.36
7,5.07
8,9.79
9,9.81
10,8.02
11,7.63
12,7.02
13,8.66
14,5.55
15,4.39
16,6.28